A geometry-optimized LiScAs3 structure, computed with PBE.

Geometry as POSCAR:
```
LiScAs3
1.0
5.1166 0.0000 0.0000
0.0000 5.1166 0.0000
0.0000 0.0000 5.1166
Li Sc As
1 1 3
direct
0.0000 0.0000 0.0000 Li
0.5000 0.5000 0.5000 Sc
0.0000 0.5000 0.5000 As
0.5000 0.0000 0.5000 As
0.5000 0.5000 0.0000 As
```

Values from the calculation:
Excess energy over the best structure of this formula in the dataset in meV/atom: 0
Energy of formation in eV per formula unit: -0.18

---

A geometry-optimized LiScAs2 structure, computed with PBE.

Geometry as POSCAR:
```
LiScAs2
1.0
3.0399 0.0000 0.0000
0.0000 3.7770 0.0000
-0.3487 0.0000 6.3478
Li Sc As
1 1 2
direct
0.0000 0.0000 0.0000 Li
0.0000 0.0000 0.5000 Sc
0.4920 0.5000 0.2507 As
0.5080 0.5000 0.7493 As
```

Values from the calculation:
Excess energy over the best structure of this formula in the dataset in meV/atom: 71
Energy of formation in eV per formula unit: -2.84

---

A geometry-optimized LiScAs2 structure, computed with PBE.

Geometry as POSCAR:
```
LiScAs2
1.0
2.9184 0.0000 0.0000
0.0000 2.9184 0.0000
0.0000 0.0000 9.7549
Li Sc As
1 1 2
direct
0.0000 0.0000 0.0000 Li
0.5000 0.5000 0.2695 Sc
0.0000 0.0000 0.4685 As
0.5000 0.5000 0.8181 As
```

Values from the calculation:
Excess energy over the best structure of this formula in the dataset in meV/atom: 599
Energy of formation in eV per formula unit: -0.73

---

Among the records above, which one has the lowest excess energy over the best structure of this formula in the dataset? LiScAs3

---

Among the records above, which one has the highest energy of formation? LiScAs3